# TeRhWN2

Crystalline TeRhWN2 at its relaxed geometry (PBE, Alexandria).

The structure in CIF format:
```
data_TeRhWN2
_symmetry_space_group_name_H-M 'P 4/m m m'
_symmetry_Int_Tables_number 123
_symmetry_space_group_name_Hall '-P 4 2'
_cell_length_a 3.882
_cell_length_b 3.882
_cell_length_c 5.825
_cell_angle_alpha 90.00
_cell_angle_beta 90.00
_cell_angle_gamma 90.00
loop_
_atom_site_label
_atom_site_fract_x
_atom_site_fract_y
_atom_site_fract_z
_atom_site_occupancy
Te1 0.000 0.000 0.000 1
Rh1 0.500 0.500 0.000 1
W1 0.000 0.000 0.500 1
N1 0.000 0.500 0.500 1
```

Calculated values
For the formation energy without anion corrections, the calculation gives 0.614 eV per atom. The excess energy over the best structure of this formula in the dataset is 0.00 eV per formula unit. For the total energy, the calculation gives -7.4058 eV/atom. The calculation puts the volume at 87.79 Å³ per cell. The density of states at the Fermi level is 3.88 states/eV per cell.

***

# Te2RhWN

Crystalline Te2RhWN at its relaxed geometry (PBE, Alexandria).

The structure in CIF format:
```
data_Te2RhWN
_symmetry_space_group_name_H-M 'P 4/m m m'
_symmetry_Int_Tables_number 123
_symmetry_space_group_name_Hall '-P 4 2'
_cell_length_a 5.370
_cell_length_b 5.370
_cell_length_c 3.623
_cell_angle_alpha 90.00
_cell_angle_beta 90.00
_cell_angle_gamma 90.00
loop_
_atom_site_label
_atom_site_fract_x
_atom_site_fract_y
_atom_site_fract_z
_atom_site_occupancy
Te1 0.000 0.500 0.000 1
Rh1 0.000 0.000 0.000 1
W1 0.500 0.500 0.500 1
N1 0.000 0.000 0.500 1
```

Calculated values
For the formation energy without anion corrections, the calculation gives 1.029 eV per atom. The excess energy over the best structure of this formula in the dataset is 2.06 eV per formula unit. For the total energy, the calculation gives -5.9539 eV/atom. The calculation puts the volume at 104.47 Å³ per cell. The density of states at the Fermi level is 3.53 states/eV per cell.

***

# ZnTeRhN2

Crystalline ZnTeRhN2 at its relaxed geometry (PBE, Alexandria).

The structure in CIF format:
```
data_ZnTeRhN2
_symmetry_space_group_name_H-M 'P 4/m m m'
_symmetry_Int_Tables_number 123
_symmetry_space_group_name_Hall '-P 4 2'
_cell_length_a 3.831
_cell_length_b 3.831
_cell_length_c 6.136
_cell_angle_alpha 90.00
_cell_angle_beta 90.00
_cell_angle_gamma 90.00
loop_
_atom_site_label
_atom_site_fract_x
_atom_site_fract_y
_atom_site_fract_z
_atom_site_occupancy
Zn1 0.000 0.000 0.000 1
Te1 0.000 0.000 0.500 1
Rh1 0.500 0.500 0.500 1
N1 0.000 0.500 0.000 1
```

Calculated values
For the formation energy without anion corrections, the calculation gives 1.580 eV per atom. The excess energy over the best structure of this formula in the dataset is 3.18 eV per formula unit. For the total energy, the calculation gives -4.1038 eV/atom. The calculation puts the volume at 90.05 Å³ per cell. The density of states at the Fermi level is 4.60 states/eV per cell.

***

# ZnTeRhN2

Crystalline ZnTeRhN2 at its relaxed geometry (PBE, Alexandria).

The structure in CIF format:
```
data_ZnTeRhN2
_symmetry_space_group_name_H-M 'P 4/m m m'
_symmetry_Int_Tables_number 123
_symmetry_space_group_name_Hall '-P 4 2'
_cell_length_a 3.854
_cell_length_b 3.854
_cell_length_c 5.804
_cell_angle_alpha 90.00
_cell_angle_beta 90.00
_cell_angle_gamma 90.00
loop_
_atom_site_label
_atom_site_fract_x
_atom_site_fract_y
_atom_site_fract_z
_atom_site_occupancy
Zn1 0.000 0.000 0.000 1
Te1 0.500 0.500 0.000 1
Rh1 0.500 0.500 0.500 1
N1 0.000 0.500 0.500 1
```

Calculated values
For the formation energy without anion corrections, the calculation gives 0.944 eV per atom. The excess energy over the best structure of this formula in the dataset is 0.00 eV per formula unit. For the total energy, the calculation gives -4.7391 eV/atom. The calculation puts the volume at 86.23 Å³ per cell. The density of states at the Fermi level is 3.66 states/eV per cell.

***

# ZnTe2RhN

Crystalline ZnTe2RhN at its relaxed geometry (PBE, Alexandria).

The structure in CIF format:
```
data_ZnTe2RhN
_symmetry_space_group_name_H-M 'P 4/m m m'
_symmetry_Int_Tables_number 123
_symmetry_space_group_name_Hall '-P 4 2'
_cell_length_a 5.360
_cell_length_b 5.360
_cell_length_c 3.515
_cell_angle_alpha 90.00
_cell_angle_beta 90.00
_cell_angle_gamma 90.00
loop_
_atom_site_label
_atom_site_fract_x
_atom_site_fract_y
_atom_site_fract_z
_atom_site_occupancy
Zn1 0.000 0.000 0.000 1
Te1 0.000 0.500 0.000 1
Rh1 0.500 0.500 0.500 1
N1 0.000 0.000 0.500 1
```

Calculated values
For the formation energy without anion corrections, the calculation gives 0.979 eV per atom. The excess energy over the best structure of this formula in the dataset is 2.92 eV per formula unit. For the total energy, the calculation gives -3.6683 eV/atom. The calculation puts the volume at 100.97 Å³ per cell. The density of states at the Fermi level is 3.99 states/eV per cell.

***

# ZnTe2RhN

Crystalline ZnTe2RhN at its relaxed geometry (PBE, Alexandria).

The structure in CIF format:
```
data_ZnTe2RhN
_symmetry_space_group_name_H-M 'P 4/m m m'
_symmetry_Int_Tables_number 123
_symmetry_space_group_name_Hall '-P 4 2'
_cell_length_a 5.537
_cell_length_b 5.537
_cell_length_c 3.632
_cell_angle_alpha 90.00
_cell_angle_beta 90.00
_cell_angle_gamma 90.00
loop_
_atom_site_label
_atom_site_fract_x
_atom_site_fract_y
_atom_site_fract_z
_atom_site_occupancy
Zn1 0.000 0.000 0.000 1
Te1 0.000 0.500 0.500 1
Rh1 0.500 0.500 0.500 1
N1 0.500 0.500 0.000 1
```

Calculated values
For the formation energy without anion corrections, the calculation gives 0.395 eV per atom. The excess energy over the best structure of this formula in the dataset is 0.00 eV per formula unit. For the total energy, the calculation gives -4.2516 eV/atom. The calculation puts the volume at 111.34 Å³ per cell. The density of states at the Fermi level is 4.03 states/eV per cell.